Crystalline Zr2P3H3O13 at its relaxed geometry, computed with GGA-PBE.

Summary:
Raw total energy in eV/f.u.: -157.18

a b c (Å): 8.902 8.912 9.469
angles (deg): 62.42 61.99 60.05
Fractional coordinates of all 42 atoms:
Zr (0.000, 0.000, 0.000)
Zr (0.196, 0.217, 0.391)
Zr (0.494, 0.509, 0.501)
Zr (0.700, 0.708, 0.890)
P (0.102, 0.390, 0.699)
P (0.317, 0.896, 0.194)
P (0.387, 0.827, 0.692)
P (0.603, 0.321, 0.197)
P (0.810, 0.109, 0.695)
P (0.887, 0.609, 0.196)
H (0.001, 0.890, 0.335)
H (0.278, 0.363, 0.967)
H (0.423, 0.327, 0.055)
H (0.497, 0.315, 0.847)
H (0.807, 0.850, 0.423)
H (0.854, 0.902, 0.544)
O (0.061, 0.438, 0.219)
O (0.097, 0.212, 0.844)
O (0.113, 0.375, 0.537)
O (0.137, 0.929, 0.174)
O (0.222, 0.842, 0.854)
O (0.269, 0.428, 0.666)
O (0.284, 0.057, 0.240)
O (0.349, 0.005, 0.547)
O (0.352, 0.720, 0.339)
O (0.395, 0.368, 0.943)
O (0.417, 0.671, 0.640)
O (0.435, 0.288, 0.217)
O (0.473, 0.881, 0.030)
O (0.558, 0.789, 0.725)
O (0.580, 0.336, 0.361)
O (0.608, 0.497, 0.051)
O (0.631, 0.278, 0.682)
O (0.724, 0.580, 0.353)
O (0.776, 0.160, 0.151)
O (0.787, 0.940, 0.708)
O (0.842, 0.075, 0.855)
O (0.853, 0.637, 0.038)
O (0.903, 0.848, 0.447)
O (0.914, 0.779, 0.172)
O (0.925, 0.546, 0.751)
O (0.968, 0.141, 0.536)


Crystalline Sr5Mg at its relaxed geometry, computed with GGA-PBE.

Summary:
Relative energy among the computed polymorphs in meV/atom: 255
ΔH_f (0 K) in eV per atom: 0.24

a b c (Å): 7.639 7.639 7.639
angles (deg): 60.00 60.00 60.00
Fractional coordinates of all 6 atoms:
Sr (0.000, 0.000, 0.000)
Sr (0.375, 0.375, 0.375)
Sr (0.375, 0.375, 0.874)
Sr (0.375, 0.874, 0.375)
Sr (0.874, 0.375, 0.375)
Mg (0.750, 0.750, 0.750)


Crystalline La7Y2 at its relaxed geometry, computed with GGA-PBE.

Summary:
Relative energy among the computed polymorphs in meV/atom: 18
ΔH_f (0 K) in eV per atom: 0.03

a b c (Å): 10.159 10.159 3.636
angles (deg): 90.00 90.00 120.00
Fractional coordinates of all 9 atoms:
La (0.000, 0.000, 0.000)
La (0.000, 0.360, 0.000)
La (0.000, 0.690, 0.500)
La (0.310, 0.310, 0.500)
La (0.360, 0.000, 0.000)
La (0.640, 0.640, 0.000)
La (0.690, 0.000, 0.500)
Y (0.333, 0.667, 0.500)
Y (0.667, 0.333, 0.500)


Crystalline Y2HoAl2Pd5 at its relaxed geometry, computed with GGA-PBE.

Summary:
ΔH_f (0 K) in eV per atom: -0.87

a b c (Å): 10.173 10.173 3.723
angles (deg): 90.00 90.00 90.00
Fractional coordinates of all 20 atoms:
Y (0.176, 0.324, 0.000)
Y (0.324, 0.824, 0.000)
Y (0.676, 0.176, 0.000)
Y (0.824, 0.676, 0.000)
Ho (0.000, 0.000, 0.000)
Ho (0.500, 0.500, 0.000)
Al (0.120, 0.620, 0.000)
Al (0.380, 0.120, 0.000)
Al (0.620, 0.880, 0.000)
Al (0.880, 0.380, 0.000)
Pd (0.000, 0.500, 0.500)
Pd (0.066, 0.784, 0.500)
Pd (0.216, 0.066, 0.500)
Pd (0.284, 0.566, 0.500)
Pd (0.434, 0.284, 0.500)
Pd (0.500, 0.000, 0.500)
Pd (0.566, 0.716, 0.500)
Pd (0.716, 0.434, 0.500)
Pd (0.784, 0.934, 0.500)
Pd (0.934, 0.216, 0.500)


Crystalline MnCd2Co at its relaxed geometry, computed with GGA-PBE.

Summary:
Relative energy among the computed polymorphs in meV/atom: 465
ΔH_f (0 K) in eV per atom: 0.61

a b c (Å): 5.861 5.861 5.861
angles (deg): 102.47 102.47 124.62
Fractional coordinates of all 8 atoms:
Mn (0.000, 0.000, 0.000)
Mn (0.750, 0.250, 0.500)
Cd (0.145, 0.125, 0.520)
Cd (0.375, 0.855, 0.980)
Cd (0.605, 0.625, 0.480)
Cd (0.875, 0.395, 0.020)
Co (0.250, 0.750, 0.500)
Co (0.500, 0.500, 0.000)


Crystalline BiTeRh2Pb at its relaxed geometry, computed with GGA-PBE.

Summary:
Formation energy (no corrections) in eV/atom: 0.62

a b c (Å): 4.897 4.897 5.951
angles (deg): 90.00 90.00 90.00
Fractional coordinates of all 5 atoms:
Bi (0.000, 0.000, 0.000)
Te (0.000, 0.000, 0.500)
Rh (0.000, 0.500, 0.500)
Rh (0.500, 0.000, 0.500)
Pb (0.500, 0.500, 0.000)


Crystalline YCd2H2 at its relaxed geometry, computed with GGA-PBE.

Summary:
Raw total energy in eV/f.u.: -15.90

a b c (Å): 5.973 5.973 4.779
angles (deg): 90.00 90.00 90.00
Fractional coordinates of all 10 atoms:
Y (0.000, 0.000, 0.000)
Y (0.500, 0.500, 0.000)
Cd (0.181, 0.319, 0.500)
Cd (0.319, 0.819, 0.500)
Cd (0.681, 0.181, 0.500)
Cd (0.819, 0.681, 0.500)
H (0.183, 0.317, 0.000)
H (0.317, 0.817, 0.000)
H (0.683, 0.183, 0.000)
H (0.817, 0.683, 0.000)


Crystalline SrCSe2N at its relaxed geometry, computed with GGA-PBE.

Summary:
Relative energy among the computed polymorphs in meV/atom: 0
Formation energy (no corrections) in eV/atom: 0.33

a b c (Å): 5.856 5.856 2.633
angles (deg): 90.00 90.00 90.00
Fractional coordinates of all 5 atoms:
Sr (0.000, 0.000, 0.000)
C (0.500, 0.500, 0.500)
Se (0.000, 0.500, 0.500)
Se (0.500, 0.000, 0.500)
N (0.500, 0.500, 0.000)